Crystalline BaZr2Sc at its relaxed geometry. Source: the Alexandria database, functional GGA-PBE.

Formation energy (eV/atom): 0.5354
Magnetization (μB/cell): 0.000

```
data_BaZr2Sc
_cell_length_a 4.717
_cell_length_b 4.728
_cell_length_c 4.938
_cell_angle_alpha 90.00
_cell_angle_beta 90.00
_cell_angle_gamma 90.00
_space_group_name_H-M_alt 'P m m m'
_space_group_IT_number 47
_space_group_name_Hall '-P 2 2'
loop_
_atom_site_label
_atom_site_fract_x
_atom_site_fract_y
_atom_site_fract_z
Ba1 0.000 0.000 0.000
Zr1 0.000 0.500 0.500
Zr2 0.500 0.000 0.500
Sc1 0.500 0.500 0.000
```